Arrangement a

## Ag2HgGeS4 (PBE-GGA)

Data for Ag2HgGeS4 after structural relaxation.

## Properties
- Symmetry: I-42m (121)
- Volume: 23.826 Å³/atom

Unit cell a=5.7014 b=5.7014 c=7.1160 alpha=113.61 beta=113.61 gamma=90.01
Positions (direct):
Ag  0.7500  0.2500  0.5001
Ag  0.2500  0.7500  0.5001
Hg  0.0003  0.0003  0.0006
Ge  0.4999  0.4999  0.9998
S  0.6060  0.6060  0.7654
S  0.3943  0.8404  0.2347
S  0.8404  0.3943  0.2347
S  0.1594  0.1594  0.7654

---

Arrangement b

## Ag2HgGeS4 (PBE-GGA)

Data for Ag2HgGeS4 after structural relaxation.

## Properties
- Symmetry: Pc (7)
- Volume: 23.852 Å³/atom

Unit cell a=7.0091 b=6.7144 c=10.5096 alpha=50.50 beta=90.00 gamma=90.00
Positions (direct):
Ag  0.8215  0.2189  0.7558
Ag  0.1785  0.2189  0.2558
Ag  0.3507  0.4533  0.5018
Ag  0.6493  0.4533  0.0018
Hg  0.8155  0.7253  0.2426
Hg  0.1845  0.7253  0.7426
Ge  0.6801  0.9589  0.5003
Ge  0.3199  0.9589  0.0003
S  0.3794  0.8436  0.4945
S  0.6206  0.8436  0.9945
S  0.8267  0.6191  0.7321
S  0.8297  0.0843  0.2688
S  0.1703  0.0843  0.7688
S  0.1733  0.6191  0.2321
S  0.6822  0.2905  0.5043
S  0.3178  0.2905  0.0043

---

Which of them is most stable? Easy: arrangement b.

---

Arrangement a

## AgGeI3 (PBE-GGA)

Data for AgGeI3 after structural relaxation.

## Properties
- Symmetry: Pm-3m (221)
- Volume: 36.222 Å³/atom

Unit cell a=5.6578 b=5.6578 c=5.6578 alpha=90.00 beta=90.00 gamma=90.00
Positions (direct):
I  0.0000  0.5000  0.0000
I  0.0000  0.0000  0.5000
I  0.5000  0.0000  0.0000
Ge  0.5000  0.5000  0.5000
Ag  0.0000  0.0000  0.0000

---

Arrangement b

## AgGeI3 (PBE-GGA)

Data for AgGeI3 after structural relaxation.

## Properties
- Symmetry: Pm-3m (221)
- Volume: 38.692 Å³/atom

Unit cell a=5.7836 b=5.7836 c=5.7836 alpha=90.00 beta=90.00 gamma=90.00
Positions (direct):
I  0.0000  0.5000  0.0000
I  0.0000  0.0000  0.5000
I  0.5000  0.0000  0.0000
Ge  0.0000  0.0000  0.0000
Ag  0.5000  0.5000  0.5000

---

Which of them is most stable? Easy: arrangement b.

---

Arrangement a

## AgGeI3 (PBE-GGA)

Data for AgGeI3 after structural relaxation.

## Properties
- Symmetry: C2/m (12)
- Volume: 37.004 Å³/atom

Unit cell a=4.4917 b=9.9250 c=8.7002 alpha=101.33 beta=90.00 gamma=103.08
Positions (direct):
Ag  0.5775  0.1551  0.3197
Ag  0.4224  0.8449  0.6803
Ge  0.8371  0.6741  0.1716
Ge  0.1629  0.3259  0.8284
I  0.9896  0.9792  0.2411
I  0.0104  0.0208  0.7589
I  0.3318  0.6635  0.9214
I  0.6682  0.3364  0.0786
I  0.3231  0.6463  0.3958
I  0.6768  0.3537  0.6041

---

Arrangement b

## AgGeI3 (PBE-GGA)

Data for AgGeI3 after structural relaxation.

## Properties
- Symmetry: P2_1/m (11)
- Volume: 45.156 Å³/atom

Unit cell a=4.4389 b=8.8691 c=11.6209 alpha=99.25 beta=90.00 gamma=90.00
Positions (direct):
Ag  0.2500  0.1185  0.5063
Ag  0.7500  0.8815  0.4937
Ge  0.2500  0.1122  0.1758
Ge  0.7500  0.8878  0.8242
I  0.7500  0.1627  0.6670
I  0.7500  0.6540  0.6423
I  0.2500  0.8373  0.3330
I  0.2500  0.3460  0.3577
I  0.2500  0.7770  0.9506
I  0.7500  0.2230  0.0494

---

Which of them is most stable? Easy: arrangement a.

---

Arrangement a

## AgGe2I2 (PBE-GGA)

Data for AgGe2I2 after structural relaxation.

## Properties
- Symmetry: P4/mbm (127)
- Volume: 27.977 Å³/atom

Unit cell a=8.5831 b=8.5831 c=3.7976 alpha=90.00 beta=90.00 gamma=90.00
Positions (direct):
I  0.3464  0.8464  0.0000
I  0.8464  0.6536  0.0000
I  0.6536  0.1536  0.0000
I  0.1536  0.3464  0.0000
Ge  0.1610  0.6610  0.5000
Ge  0.6610  0.8390  0.5000
Ge  0.8390  0.3390  0.5000
Ge  0.3390  0.1610  0.5000
Ag  0.0000  0.0000  0.0000
Ag  0.5000  0.5000  0.0000

---

Arrangement b

## AgGe2I2 (PBE-GGA)

Data for AgGe2I2 after structural relaxation.

## Properties
- Symmetry: I4/mmm (139)
- Volume: 27.798 Å³/atom

Unit cell a=3.8889 b=3.8889 c=9.5929 alpha=78.31 beta=78.31 gamma=90.00
Positions (direct):
I  0.3986  0.3986  0.2027
I  0.6014  0.6014  0.7973
Ge  0.7500  0.2500  0.5000
Ge  0.2500  0.7500  0.5000
Ag  0.0000  0.0000  0.0000

---

Which of them is most stable? Easy: arrangement b.